Compound: CsNp3Hg2F12
Source: the Alexandria database
Functional: PBE
Structure: relaxed

Cell: 8.9098 8.9098 8.9098 Å, 60.29 60.29 60.29°
Last column: nearest neighbours and their distance in Å.
Element x y z (fractional)
Cs1 0.0000 0.0000 0.0000  6 F 2.99
Np1 0.5000 0.0000 0.0000  6 F 2.09-2.29
Np2 0.0000 0.5000 0.0000  6 F 2.09-2.29
Np3 0.0000 0.0000 0.5000  6 F 2.09-2.29
Hg1 0.6087 0.6087 0.6087  9 F 3.82-4.18
Hg2 0.3913 0.3913 0.3913  9 F 3.82-4.18
F1 0.2775 0.2775 0.9363  2 Np 2.29
F2 0.9047 0.9047 0.4022  1 Np 2.09
F3 0.4022 0.9047 0.9047  1 Np 2.09
F4 0.9363 0.2775 0.2775  2 Np 2.29
F5 0.9047 0.4022 0.9047  1 Np 2.09
F6 0.2775 0.9363 0.2775  2 Np 2.29
F7 0.7225 0.7225 0.0637  2 Np 2.29
F8 0.0953 0.0953 0.5978  1 Np 2.09
F9 0.5978 0.0953 0.0953  1 Np 2.09
F10 0.0637 0.7225 0.7225  2 Np 2.29
F11 0.0953 0.5978 0.0953  1 Np 2.09
F12 0.7225 0.0637 0.7225  2 Np 2.29

Its density of states at the Fermi level is 29.5 states/eV/f.u. The space group is R-3m. Its formation energy without anion corrections is -5201 kJ/mol of formula units.